No. 1
Sr2LaPt: relaxed, PBE.

a = 5.5449 Å, b = 5.5449 Å, c = 5.5449 Å
α = 60.00°, β = 60.00°, γ = 60.00°
Element x y z (fractional)
1 Sr 0.0000 0.0000 0.0000
2 Sr 0.2500 0.2500 0.2500
3 La 0.5000 0.5000 0.5000
4 Pt 0.7500 0.7500 0.7500

## Properties
The value obtained for the energy above the most stable polymorph in this dataset is 516.0 meV per atom. Its formation energy is -0.36 eV/f.u. As for the space group: F-43m, No. 216.



No. 2
ZrNbTcRu: relaxed, PBE.

a = 3.2345 Å, b = 4.5361 Å, c = 4.6068 Å
α = 90.00°, β = 90.00°, γ = 90.00°
Element x y z (fractional)
1 Zr 0.0000 0.0000 0.0000
2 Nb 0.0000 0.5000 0.5000
3 Tc 0.5000 0.0000 0.5000
4 Ru 0.5000 0.5000 0.0000

## Properties
Its formation energy is -1.70 eV/f.u. As for the space group: Pmmm, No. 47.



No. 3
SrCr2Re: relaxed, PBE.

a = 8.8396 Å, b = 8.8396 Å, c = 8.8396 Å
α = 147.69°, β = 147.69°, γ = 46.35°
Element x y z (fractional)
1 Sr 0.3750 0.6250 0.7500
2 Sr 0.6250 0.3750 0.2500
3 Cr 0.0000 0.0000 0.0000
4 Cr 0.0000 0.0000 0.5000
5 Cr 0.0000 0.5000 0.0000
6 Cr 0.5000 0.0000 0.5000
7 Re 0.1250 0.8750 0.2500
8 Re 0.8750 0.1250 0.7500

## Properties
The value obtained for the energy above the most stable polymorph in this dataset is 522.3 meV per atom. Its formation energy is 4.76 eV/f.u. As for the space group: I4_1/amd, No. 141.



No. 4
MoC: relaxed, PBE.

a = 5.4003 Å, b = 5.4003 Å, c = 3.6038 Å
α = 90.00°, β = 90.00°, γ = 90.00°
Element x y z (fractional)
1 Mo 0.1866 0.1866 0.0000
2 Mo 0.3134 0.6866 0.5000
3 Mo 0.6866 0.3134 0.5000
4 Mo 0.8134 0.8134 0.0000
5 C 0.1917 0.8083 0.0000
6 C 0.3083 0.3083 0.5000
7 C 0.6917 0.6917 0.5000
8 C 0.8083 0.1917 0.0000

## Properties
The value obtained for the energy above the most stable polymorph in this dataset is 526.4 meV per atom. Its formation energy is 0.87 eV/f.u. As for the space group: P4_2/mnm, No. 136.



No. 5
Mn2As2Au: relaxed, PBE.

a = 7.0900 Å, b = 7.0900 Å, c = 2.8236 Å
α = 90.00°, β = 90.00°, γ = 90.00°
Element x y z (fractional)
1 Mn 0.1447 0.3553 0.0000
2 Mn 0.3553 0.8553 0.0000
3 Mn 0.6447 0.1447 0.0000
4 Mn 0.8553 0.6447 0.0000
5 As 0.1473 0.6473 0.5000
6 As 0.3527 0.1473 0.5000
7 As 0.6473 0.8527 0.5000
8 As 0.8527 0.3527 0.5000
9 Au 0.0000 0.0000 0.5000
10 Au 0.5000 0.5000 0.5000

## Properties
The value obtained for the energy above the most stable polymorph in this dataset is 216.8 meV per atom. Its formation energy is 1.15 eV/f.u. As for the space group: P4/mbm, No. 127.



No. 6
Ba2CaGaTe5: relaxed, PBE.

a = 10.5113 Å, b = 10.5113 Å, c = 14.2221 Å
α = 90.00°, β = 90.00°, γ = 155.04°
Element x y z (fractional)
1 Ba 0.1218 0.8782 0.5000
2 Ba 0.1249 0.8751 0.1363
3 Ba 0.8751 0.1249 0.6363
4 Ba 0.8782 0.1218 0.0000
5 Ca 0.2068 0.7932 0.8318
6 Ca 0.7932 0.2068 0.3318
7 Ga 0.4337 0.5663 0.2400
8 Ga 0.5663 0.4337 0.7400
9 Te 0.0477 0.9523 0.8492
10 Te 0.2998 0.7002 0.4833
11 Te 0.3101 0.6899 0.1742
12 Te 0.3582 0.6418 0.8203
13 Te 0.4995 0.5005 0.0819
14 Te 0.5005 0.4995 0.5819
15 Te 0.6418 0.3582 0.3203
16 Te 0.6899 0.3101 0.6742
17 Te 0.7002 0.2998 0.9833
18 Te 0.9523 0.0477 0.3492

## Properties
For the uncorrected formation energy, the calculation gives -1179 meV/atom. As for the space group: Cmc2_1, No. 36.